Entry 1:
ZrCrP2N | PBE | optimized geometry

The value obtained for the excess energy over the best structure of this formula in the dataset is 1902 meV/atom.

The space group is P4/mmm (No. 123) and the conventional cell measures 4.998, 4.998 and 5.563 Å, with angles of 90.00, 90.00 and 90.00 degrees. Symmetry generates all atoms from Zr at (0.000, 0.000, 0.000), Cr at (0.000, 0.000, 0.500), P at (0.000, 0.500, 0.000) and N at (0.500, 0.500, 0.500).

Entry 2:
PaCr2N | PBE | optimized geometry

As for the total energy: -9.17 eV per atom.

The space group is R-3m (No. 166, hexagonal axes) and the conventional cell measures 3.0267, 3.0267 and 21.0098 Å, with angles of 90.00, 90.00 and 120.00 degrees. Symmetry generates all atoms from Pa at (0.0000, 0.0000, 0.0000), Cr at (0.0000, 0.0000, 0.1226) and N at (0.0000, 0.0000, 0.5000).

Entry 3:
PaCr2N4 | PBE | optimized geometry

As for the total energy: -9.66 eV per atom.

The space group is I4_1/amd (No. 141, origin choice 2) and the conventional cell measures 6.755, 6.755 and 6.644 Å, with angles of 90.00, 90.00 and 90.00 degrees. Symmetry generates all atoms from Pa at (0.000, 0.250, 0.375), Cr at (0.000, 0.000, 0.000) and N at (0.000, 0.070, 0.709).

Entry 4:
Pa3CrN7 | PBE | optimized geometry

As for the total energy: -9.93 eV per atom.

The space group is C222_1 (No. 20) and the conventional cell measures 7.709, 10.581 and 7.345 Å, with angles of 90.00, 90.00 and 90.00 degrees. Symmetry generates all atoms from Pa at (0.032, 0.000, 0.000), Pa at (0.229, 0.271, 0.759), Cr at (0.048, 0.500, 0.000), N at (0.000, 0.127, 0.250), N at (0.000, 0.140, 0.750), N at (0.000, 0.437, 0.750), N at (0.191, 0.381, 0.046) and N at (0.235, 0.367, 0.488).

Entry 5:
Pa3Cr5N12 | PBE | optimized geometry

As for the total energy: -9.73 eV per atom.

The space group is Ia-3d (No. 230) and the conventional cell measures 12.336, 12.336 and 12.336 Å, with angles of 90.00, 90.00 and 90.00 degrees. Symmetry generates all atoms from Pa at (0.000, 0.250, 0.125), Cr at (0.000, 0.000, 0.000), Cr at (0.000, 0.250, 0.375) and N at (0.030, 0.052, 0.655).

Entry 6:
Pa2CrPdN5 | PBE | optimized geometry

As for the total energy: -9.15 eV per atom.

The space group is Cmc2_1 (No. 36) and the conventional cell measures 3.327, 12.843 and 10.226 Å, with angles of 90.00, 90.00 and 90.00 degrees. Symmetry generates all atoms from Pa at (0.000, 0.093, 0.000), Pa at (0.000, 0.153, 0.636), Cr at (0.000, 0.211, 0.354), Pd at (0.000, 0.467, 0.781), N at (0.000, 0.071, 0.413), N at (0.000, 0.270, 0.995), N at (0.000, 0.311, 0.721), N at (0.000, 0.370, 0.334) and N at (0.000, 0.483, 0.092).

Entry 7:
PmPa2CrN4 | PBE | optimized geometry

As for the total energy: -9.62 eV per atom.

The space group is Cmcm (No. 63) and the conventional cell measures 3.388, 11.718 and 11.545 Å, with angles of 90.00, 90.00 and 90.00 degrees. Symmetry generates all atoms from Pm at (0.000, 0.105, 0.250), Pa at (0.000, 0.367, 0.055), Cr at (0.000, 0.157, 0.750), N at (0.000, 0.000, 0.000), N at (0.000, 0.270, 0.622) and N at (0.000, 0.444, 0.250).

Entry 8:
Pm2PaCrN4 | PBE | optimized geometry

As for the total energy: -8.82 eV per atom.

The space group is Cmcm (No. 63) and the conventional cell measures 3.392, 11.472 and 12.064 Å, with angles of 90.00, 90.00 and 90.00 degrees. Symmetry generates all atoms from Pm at (0.000, 0.132, 0.049), Pa at (0.000, 0.393, 0.250), Cr at (0.000, 0.342, 0.750), N at (0.000, 0.051, 0.250), N at (0.000, 0.218, 0.641) and N at (0.000, 0.500, 0.000).